Material: Ba2AgSnPd
Method: DFT, GGA-PBE
State: optimized geometry

a b c (Å): 6.201 6.201 5.044
angles (deg): 90.00 90.00 90.00
Positions (direct):
Ba: 0.000 0.500 0.000
Ba: 0.500 0.000 0.000
Ag: 0.000 0.000 0.500
Sn: 0.500 0.500 0.500
Pd: 0.500 0.500 0.000

Properties
Density of states at the Fermi level, states/eV/atom: 0.89
Calculated formation energy, meV/atom: -338.8
Total magnetization, μB/cell: 0.00

Material: Ce2GaPd8
Method: DFT, GGA-PBE
State: optimized geometry

a b c (Å): 7.995 7.995 7.995
angles (deg): 145.70 136.35 56.65
Positions (direct):
Ce: 0.183 0.183 0.000
Ce: 0.817 0.817 0.000
Ga: 0.500 0.500 0.000
Pd: 0.107 0.365 0.742
Pd: 0.257 0.000 0.257
Pd: 0.317 0.817 0.500
Pd: 0.378 0.635 0.742
Pd: 0.622 0.365 0.258
Pd: 0.683 0.183 0.500
Pd: 0.743 0.000 0.743
Pd: 0.893 0.635 0.258

Properties
Density of states at the Fermi level, states/eV/atom: 0.71
Calculated formation energy, meV/atom: -620.2
Total magnetization, μB/cell: 0.49

Material: LiAs3Br
Method: DFT, GGA-PBE
State: optimized geometry

a b c (Å): 5.169 5.169 5.169
angles (deg): 90.00 90.00 90.00
Positions (direct):
Li: 0.000 0.000 0.000
As: 0.000 0.500 0.500
As: 0.500 0.000 0.500
As: 0.500 0.500 0.000
Br: 0.500 0.500 0.500

Properties
Density of states at the Fermi level, states/eV/atom: 1.15
ΔE_f (raw), eV per formula unit: 4.56
Total magnetization, μB/cell: 0.00
ΔE to the lowest computed polymorph, meV per atom: 295